Compound: Sr3Li
Source: Alexandria
Functional: GGA-PBE
Structure: relaxed

a b c (Å): 8.1340 8.1340 13.2324
angles (deg): 90.00 90.00 120.00
Fractional positions:
Sr (0.0000, 0.5000, 0.0000)
Sr (0.0000, 0.5000, 0.5000)
Sr (0.1646, 0.3293, 0.2500)
Sr (0.1646, 0.8354, 0.2500)
Sr (0.3293, 0.1646, 0.7500)
Sr (0.5000, 0.0000, 0.0000)
Sr (0.5000, 0.0000, 0.5000)
Sr (0.5000, 0.5000, 0.0000)
Sr (0.5000, 0.5000, 0.5000)
Sr (0.6707, 0.8354, 0.2500)
Sr (0.8354, 0.1646, 0.7500)
Sr (0.8354, 0.6707, 0.7500)
Li (0.0000, 0.0000, 0.0000)
Li (0.0000, 0.0000, 0.5000)
Li (0.3333, 0.6667, 0.7500)
Li (0.6667, 0.3333, 0.2500)

Computed properties:
For the offset from the most stable computed form, the calculation gives 37 meV/atom. For the formation energy, the calculation gives 30 kJ/mol of formula units. The space-group type is P6_3/mmc, No. 194. As for the spin magnetization: 0.000 μB/atom.